Computed, not measured: a geometry-optimized Nd2InHg3 structure at the PBE-GGA level of DFT.

## Properties
* DOS at the Fermi energy: 9.4 states/eV per cell
* formation enthalpy at 0 K: -0.44 eV per atom

a = 10.0236 Å, b = 9.4062 Å, c = 6.1862 Å
α = 76.95°, β = 66.09°, γ = 36.96°
Atoms (fractional coordinates):
1 Nd 0.2442 0.7558 0.7558
2 Nd 0.2500 0.2500 0.2500
3 Nd 0.7500 0.7500 0.7500
4 Nd 0.7558 0.2442 0.2442
5 In 0.3335 0.3335 0.6665
6 In 0.6665 0.6665 0.3335
7 Hg 0.1673 0.1673 0.8327
8 Hg 0.1681 0.6652 0.3348
9 Hg 0.3348 0.8319 0.1681
10 Hg 0.6652 0.1681 0.8319
11 Hg 0.8319 0.3348 0.6652
12 Hg 0.8327 0.8327 0.1673

***

Computed, not measured: a geometry-optimized MnCdIr2 structure at the PBE-GGA level of DFT.

## Properties
* DOS at the Fermi energy: 3.2 states/eV per cell
* formation enthalpy at 0 K: 0.13 eV per atom

a = 4.8431 Å, b = 4.8431 Å, c = 4.8280 Å
α = 100.27°, β = 100.27°, γ = 34.36°
Atoms (fractional coordinates):
1 Mn 0.0000 0.0000 0.0000
2 Cd 0.7601 0.7601 0.2578
3 Ir 0.2573 0.2573 0.7552
4 Ir 0.5178 0.5178 0.5492

***

Computed, not measured: a geometry-optimized NpBeC structure at the PBE-GGA level of DFT.

## Properties
* DOS at the Fermi energy: 3.2 states/eV per cell
* formation enthalpy at 0 K: 0.77 eV per atom

a = 5.1640 Å, b = 5.1640 Å, c = 5.1640 Å
α = 151.13°, β = 151.13°, γ = 41.29°
Atoms (fractional coordinates):
1 Np 0.0000 0.0000 0.0000
2 Be 0.2737 0.2737 0.0000
3 C 0.7019 0.7019 0.0000

***

Computed, not measured: a geometry-optimized Cs2MnCl7 structure at the PBE-GGA level of DFT.

## Properties
* DOS at the Fermi energy: 4.5 states/eV per cell
* E_form (uncorrected): -1188 meV per atom

a = 7.7227 Å, b = 7.7227 Å, c = 7.7227 Å
α = 122.38°, β = 122.38°, γ = 85.92°
Atoms (fractional coordinates):
1 Cs 0.2500 0.7500 0.5000
2 Cs 0.7500 0.2500 0.5000
3 Mn 0.0000 0.0000 0.0000
4 Cl 0.2019 0.2019 0.0000
5 Cl 0.2196 0.2196 0.4393
6 Cl 0.2196 0.7804 0.0000
7 Cl 0.5000 0.5000 0.0000
8 Cl 0.7804 0.2196 0.0000
9 Cl 0.7804 0.7804 0.5607
10 Cl 0.7981 0.7981 0.0000